Density functional theory data (GGA-PBE) for AcMgPdRh after structural relaxation.

Lattice parameters (Å, degrees): 4.505 4.508 5.733 112.93 90.00 119.98
Positions (direct):
1 Mg 0.118 0.236 0.997
2 Rh 0.828 0.656 0.127
3 Ac 0.614 0.228 0.483
4 Pd 0.406 0.812 0.861

Computed properties:
density: 8.5 g/cm3
final energy: -5.191 eV per atom
polymorph energy (0 for the lowest one): 0 meV per atom